Computed, not measured: NiCl after structural relaxation at the PBE level of DFT.

Lattice parameters (Å, degrees): 3.8545 3.8545 13.1221 90.00 90.00 120.00
Atoms (fractional coordinates):
1 Ni 0.0000 0.0000 0.2500
2 Ni 0.0000 0.0000 0.7500
3 Ni 0.3333 0.6667 0.2500
4 Ni 0.6667 0.3333 0.7500
5 Cl 0.3333 0.6667 0.6296
6 Cl 0.3333 0.6667 0.8704
7 Cl 0.6667 0.3333 0.1296
8 Cl 0.6667 0.3333 0.3704

Values from the calculation:
DFT total energy: -3.5714 eV per atom
space-group type: P6_3/mmc (194)
spin magnetization: 4.011 μB per cell
formation energy (no corrections): 0.24 eV per atom

Computed, not measured: As2PtSeO after structural relaxation at the PBE level of DFT.

Lattice parameters (Å, degrees): 4.8281 4.8281 5.2188 90.00 90.00 90.00
Atoms (fractional coordinates):
1 As 0.0000 0.5000 0.0000
2 As 0.5000 0.0000 0.0000
3 Pt 0.0000 0.0000 0.0000
4 Se 0.0000 0.0000 0.5000
5 O 0.5000 0.5000 0.5000

Values from the calculation:
DFT total energy: -3.7766 eV per atom
offset from the most stable computed form: 568.0 meV/atom
space-group type: P4/mmm (123)
spin magnetization: 2.501 μB per cell
formation energy (no corrections): 0.98 eV per atom

Computed, not measured: PuGe7Ir3 after structural relaxation at the PBE level of DFT.

Lattice parameters (Å, degrees): 8.3519 8.3519 8.3519 56.94 56.94 56.94
Atoms (fractional coordinates):
1 Pu 0.0000 0.0000 0.0000
2 Pu 0.5000 0.5000 0.5000
3 Ge 0.0752 0.8504 0.6673
4 Ge 0.1496 0.3327 0.9248
5 Ge 0.1673 0.3504 0.5752
6 Ge 0.2500 0.2500 0.2500
7 Ge 0.3327 0.9248 0.1496
8 Ge 0.3504 0.5752 0.1673
9 Ge 0.4248 0.8327 0.6496
10 Ge 0.5752 0.1673 0.3504
11 Ge 0.6496 0.4248 0.8327
12 Ge 0.6673 0.0752 0.8504
13 Ge 0.7500 0.7500 0.7500
14 Ge 0.8327 0.6496 0.4248
15 Ge 0.8504 0.6673 0.0752
16 Ge 0.9248 0.1496 0.3327
17 Ir 0.0666 0.7500 0.4334
18 Ir 0.2500 0.5666 0.9334
19 Ir 0.4334 0.0666 0.7500
20 Ir 0.5666 0.9334 0.2500
21 Ir 0.7500 0.4334 0.0666
22 Ir 0.9334 0.2500 0.5666

Values from the calculation:
DFT total energy: -7.0366 eV per atom
space-group type: R-3c (167)
spin magnetization: 10.524 μB per cell
E_form: -0.379 eV/atom